No. 1
The following is a PBE calculation of a relaxed Si2HgPb2 crystal, from the Alexandria database.

Calculated values
For the offset from the most stable computed form, the calculation gives 108 meV/atom. The calculation puts the uncorrected formation energy at 336 meV per atom. Its energy is -3.3766 eV/atom. The calculation puts the spin magnetization at 0.000 μB per atom.

The structure in POSCAR format:
```
Si2HgPb2
1.0
5.2288 0.0000 0.0000
0.0000 5.2288 0.0000
2.6144 2.6144 4.8506
Pb Si Hg
2 2 1
Cartesian
5.2288 2.6144 2.4253
2.6144 5.2288 2.4253
2.6144 2.6144 1.1703
5.2288 5.2288 3.6803
0.0000 0.0000 0.0000
```


No. 2
The following is a PBE calculation of a relaxed Zr2AgW crystal, from the Alexandria database.

Calculated values
The energy of formation from the pure elements comes out at 296 meV per atom. For the offset from the most stable computed form, the calculation gives 294 meV/atom. Its energy is -7.9295 eV/atom. The calculation puts the spin magnetization at 0.000 μB per atom.

The structure in POSCAR format:
```
Zr2AgW
1.0
10.5195 -0.0313 -0.0183
10.1153 2.8885 -0.0183
10.1153 1.4006 2.5263
Ag W Zr
1 1 2
Cartesian
7.6875 1.0644 0.6224
23.0625 3.1933 1.8672
0.0206 0.0029 0.0017
15.3544 2.1260 1.2432
```


> Which formula does entry 2 have?

Zr2AgW